Record 1
Material: LiTePt
Method: DFT, GGA-PBE
State: relaxed

Values from the calculation:
Raw formation energy: -0.099 eV/atom

```
LiTePt
1.0
3.375 0.000 0.000
-1.687 2.923 0.000
0.000 0.000 6.223
Li Te Pt
1 1 1
direct
0.000 0.000 0.000 Li
0.667 0.333 0.614 Te
0.333 0.667 0.313 Pt
```


Record 2
Material: LiTe3Pt2
Method: DFT, GGA-PBE
State: relaxed

Values from the calculation:
Raw formation energy: -0.526 eV/atom

```
LiTe3Pt2
1.0
8.076 0.000 0.000
-4.038 6.994 0.000
0.000 0.000 5.517
Li Te Pt
2 6 4
direct
0.333 0.667 0.254 Li
0.667 0.333 0.746 Li
0.172 0.344 0.737 Te
0.172 0.828 0.737 Te
0.344 0.172 0.263 Te
0.656 0.828 0.737 Te
0.828 0.172 0.263 Te
0.828 0.656 0.263 Te
0.000 0.000 0.500 Pt
0.000 0.500 0.500 Pt
0.500 0.000 0.500 Pt
0.500 0.500 0.500 Pt
```